No. 1
# AcGdSiRh

Crystalline AcGdSiRh at its relaxed geometry (PBE-GGA, Alexandria).

Theoretical density ... 8.72 Mg/m³
Formation energy without anion corrections ... -178 kJ/mol of formula units
Total moment ... 7.0 μB per formula unit
E ... -8.20 eV/atom
Crystal system ... cubic
D(E_F) ... 0.817 states/eV/atom

Cell: 5.1770 5.1770 5.1770 Å, 60.00 60.00 60.00°
Site moments in Bohr magnetons follow the coordinates.
Sites, in units of the cell vectors:
Rh 0.2500 0.2500 0.2500  -0.04
Si 0.7500 0.7500 0.7500  -0.02
Ac 0.5000 0.5000 0.5000  -0.01
Gd 0.0000 0.0000 0.0000  6.96

---

No. 2
# KPdBr

Crystalline KPdBr at its relaxed geometry (PBE-GGA, Alexandria).

Theoretical density ... 3.84 Mg/m³
Formation energy without anion corrections ... -206 kJ/mol of formula units
Total moment ... 0.0 μB per formula unit
E ... -3.37 eV/atom
Energy above the lowest structure with this stoichiometry ... 0.000 eV/atom
Crystal system ... orthorhombic
D(E_F) ... 0.000 states/eV/atom

Cell: 7.6606 7.6606 5.5832 Å, 90.00 90.00 143.44°
Sites, in units of the cell vectors:
Pd 0.0000 0.0000 0.0000
Pd 0.0000 0.0000 0.5000
Br 0.8573 0.1427 0.2500
Br 0.1427 0.8573 0.7500
K 0.3741 0.6259 0.7500
K 0.6259 0.3741 0.2500

---

No. 3
# AlTl2SbS4

Crystalline AlTl2SbS4 at its relaxed geometry (PBE-GGA, Alexandria).

Theoretical density ... 4.78 Mg/m³
Formation energy without anion corrections ... -404 kJ/mol of formula units
Total moment ... 0.0 μB per formula unit
E ... -4.16 eV/atom
Crystal system ... orthorhombic

Cell: 6.1357 8.5910 9.0316 Å, 90.00 90.00 90.00°
Sites, in units of the cell vectors:
S 0.8867 0.8415 0.0000
S 0.9260 0.2429 0.2010
S 0.3867 0.1585 0.5000
S 0.9260 0.2429 0.7990
S 0.4260 0.7571 0.7010
S 0.4260 0.7571 0.2990
S 0.8773 0.9210 0.5000
S 0.3773 0.0790 0.0000
Al 0.5011 0.9015 0.5000
Al 0.0011 0.0985 0.0000
Tl 0.4532 0.3474 0.7854
Tl 0.4532 0.3474 0.2146
Tl 0.9532 0.6526 0.7146
Tl 0.9532 0.6526 0.2854
Sb 0.9763 0.1952 0.5000
Sb 0.4763 0.8048 0.0000

---

No. 4
# Ac3In3Rh2

Crystalline Ac3In3Rh2 at its relaxed geometry (PBE-GGA, Alexandria).

Theoretical density ... 9.18 Mg/m³
E_form ... -0.55 eV per atom
Total moment ... 0.0 μB per formula unit
E ... -4.96 eV/atom
Energy above the lowest structure with this stoichiometry ... 0.019 eV/atom
Crystal system ... orthorhombic
D(E_F) ... 0.769 states/eV/atom

Cell: 6.0562 8.7260 16.8577 Å, 90.00 90.00 90.00°
Sites, in units of the cell vectors:
Ac 0.8848 0.8338 0.2500
Ac 0.1152 0.1662 0.7500
Ac 0.5950 0.0316 0.8906
Ac 0.4050 0.9684 0.3906
Ac 0.0950 0.4684 0.1094
Ac 0.4050 0.9684 0.1094
Ac 0.9050 0.5316 0.8906
Ac 0.6152 0.3338 0.2500
Ac 0.0950 0.4684 0.3906
Ac 0.3848 0.6662 0.7500
Ac 0.5950 0.0316 0.6094
Ac 0.9050 0.5316 0.6094
Rh 0.8609 0.1119 0.1116
Rh 0.3609 0.3881 0.8884
Rh 0.6391 0.6119 0.1116
Rh 0.1391 0.8881 0.8884
Rh 0.1391 0.8881 0.6116
Rh 0.3609 0.3881 0.6116
Rh 0.8609 0.1119 0.3884
Rh 0.6391 0.6119 0.3884
In 0.8903 0.8239 0.7500
In 0.5910 0.3285 0.4659
In 0.0910 0.1715 0.5341
In 0.9090 0.8285 0.4659
In 0.3903 0.6761 0.2500
In 0.0910 0.1715 0.9659
In 0.4090 0.6715 0.5341
In 0.4090 0.6715 0.9659
In 0.1097 0.1761 0.2500
In 0.5910 0.3285 0.0341
In 0.6097 0.3239 0.7500
In 0.9090 0.8285 0.0341